Density functional theory data (GGA-PBE) for an optimized crystal structure of Cu3IrPt.

Structure (POSCAR):
```
Cu3IrPt
1.0
4.570 0.000 0.000
0.000 4.570 0.000
0.000 0.000 4.570
Cu Pt Ir
3 1 1
Direct
0.000 0.500 0.000 Cu
0.000 0.000 0.500 Cu
0.500 0.000 0.000 Cu
0.000 0.000 0.000 Pt
0.500 0.500 0.500 Ir
```

Computed properties:
ΔE_f, meV per atom: 1468
Energy above the lowest structure with this stoichiometry, meV per atom: 111.5

***

Density functional theory data (GGA-PBE) for an optimized crystal structure of CuIrPt4.

Structure (POSCAR):
```
CuIrPt4
1.0
6.399 0.933 0.379
-0.585 4.901 -2.170
2.303 0.177 6.475
Pt Ir Cu
8 2 2
Direct
0.000 0.756 0.000 Pt
0.454 0.112 0.729 Pt
0.454 0.617 0.729 Pt
0.000 0.244 0.000 Pt
0.546 0.888 0.271 Pt
0.850 0.209 0.419 Pt
0.546 0.383 0.271 Pt
0.150 0.791 0.581 Pt
0.722 0.435 0.870 Ir
0.278 0.565 0.130 Ir
0.835 0.713 0.427 Cu
0.165 0.287 0.573 Cu
```

Computed properties:
ΔE_f, meV per atom: 200
Energy above the lowest structure with this stoichiometry, meV per atom: 0.0

***

Density functional theory data (GGA-PBE) for an optimized crystal structure of Cu8IrPt6.

Structure (POSCAR):
```
Cu8IrPt6
1.0
-5.123 -4.348 -2.402
-1.073 -6.322 3.132
-5.415 -1.391 3.467
Cu Pt Ir
8 6 1
Direct
0.166 0.882 0.373 Cu
0.882 0.578 0.373 Cu
0.753 0.753 0.740 Cu
0.422 0.834 0.627 Cu
0.578 0.166 0.373 Cu
0.118 0.422 0.627 Cu
0.834 0.118 0.627 Cu
0.247 0.247 0.260 Cu
0.621 0.913 0.140 Pt
0.326 0.621 0.140 Pt
0.913 0.326 0.140 Pt
0.087 0.674 0.860 Pt
0.674 0.379 0.860 Pt
0.379 0.087 0.860 Pt
0.000 0.000 0.000 Ir
```

Computed properties:
ΔE_f, meV per atom: 123

***

Total moment for the records above, in order: 1.2; 0.0; 0.0 μB per cell